# SnPt2Pb2

A relaxed SnPt2Pb2 crystal (PBE, the Alexandria database).

Cell and atoms, written as extended XYZ:
```
10
Lattice="-3.2467 -2.2934 -1.3500 3.1126 -5.0984 1.1754 -3.2579 -0.7347 9.0829" Properties=species:S:1:pos:R:3 pbc="T T T"
Pb -0.2285 -4.7843 5.4133
Pb -3.1635 -3.3421 3.4949
Pb -2.5810 -2.3131 0.3459
Pb -0.8110 -5.8133 8.5623
Sn 0.3211 -3.6399 2.1477
Sn -3.7130 -4.4865 6.7606
Pt -2.0989 -2.4786 5.9946
Pt -0.3608 -5.1973 -0.0937
Pt -1.2931 -5.6479 2.9137
Pt -3.0312 -2.9291 9.0020
```

Results
Calculated density ... 12.43 g/cm3
Symmetry ... No. 11
DFT formation energy ... -0.2638 eV/atom